# 1
Here is a geometry-optimized Pr3S3N structure from OQMD via LeMat-Bulk. Energies are from PBE.

Values from the calculation:
Final energy ... -6.90 eV per atom
SG ... Pnma, No. 62

a b c (Å): 12.243 4.085 13.178
angles (deg): 90.00 90.00 90.00
Fractional positions:
1 Pr 0.038 0.250 0.150
2 Pr 0.089 0.250 0.627
3 Pr 0.226 0.250 0.868
4 Pr 0.274 0.750 0.368
5 Pr 0.411 0.750 0.127
6 Pr 0.462 0.750 0.650
7 Pr 0.538 0.250 0.350
8 Pr 0.589 0.250 0.873
9 Pr 0.726 0.250 0.632
10 Pr 0.774 0.750 0.132
11 Pr 0.911 0.750 0.373
12 Pr 0.962 0.750 0.850
13 S 0.077 0.250 0.392
14 S 0.142 0.750 0.999
15 S 0.233 0.750 0.701
16 S 0.267 0.250 0.201
17 S 0.358 0.250 0.499
18 S 0.423 0.750 0.892
19 S 0.577 0.250 0.108
20 S 0.642 0.750 0.501
21 S 0.733 0.750 0.799
22 S 0.767 0.250 0.299
23 S 0.858 0.250 0.001
24 S 0.923 0.750 0.608
25 N 0.050 0.250 0.798
26 N 0.450 0.750 0.298
27 N 0.550 0.250 0.702
28 N 0.950 0.750 0.202

=====

# 2
Here is a geometry-optimized ScNbOs2 structure from OQMD via LeMat-Bulk. Energies are from PBE.

Values from the calculation:
Formation energy ... 67 meV per atom
SG ... Pnma, No. 62

a b c (Å): 7.688 6.849 5.400
angles (deg): 90.00 90.00 90.00
Fractional positions:
1 Sc 0.038 0.250 0.129
2 Sc 0.462 0.750 0.629
3 Sc 0.538 0.250 0.371
4 Sc 0.962 0.750 0.871
5 Nb 0.083 0.750 0.371
6 Nb 0.417 0.250 0.871
7 Nb 0.583 0.750 0.129
8 Nb 0.917 0.250 0.629
9 Os 0.209 0.050 0.596
10 Os 0.209 0.450 0.596
11 Os 0.291 0.550 0.096
12 Os 0.291 0.950 0.096
13 Os 0.709 0.050 0.904
14 Os 0.709 0.450 0.904
15 Os 0.791 0.550 0.404
16 Os 0.791 0.950 0.404

=====

# 3
Here is a geometry-optimized NdHoPt2 structure from OQMD via LeMat-Bulk. Energies are from PBE.

Values from the calculation:
Formation energy ... -1212 meV per atom
SG ... Pmc2_1, No. 26

a b c (Å): 4.564 5.630 7.195
angles (deg): 90.00 90.00 90.00
Fractional positions:
1 Nd 0.000 0.109 0.000
2 Nd 0.000 0.891 0.500
3 Ho 0.500 0.390 0.635
4 Ho 0.500 0.610 0.135
5 Pt 0.000 0.407 0.363
6 Pt 0.000 0.593 0.863
7 Pt 0.500 0.100 0.275
8 Pt 0.500 0.900 0.775

=====

# 4
Here is a geometry-optimized MgScFeGe structure from OQMD via LeMat-Bulk. Energies are from PBE.

Values from the calculation:
Final energy ... -5.33 eV per atom
SG ... F-43m, No. 216

a b c (Å): 6.460 6.460 6.460
angles (deg): 90.00 90.00 90.00
Fractional positions:
1 Mg 0.000 0.000 0.000
2 Mg 0.000 0.500 0.500
3 Mg 0.500 0.000 0.500
4 Mg 0.500 0.500 0.000
5 Sc 0.000 0.000 0.500
6 Sc 0.000 0.500 0.000
7 Sc 0.500 0.000 0.000
8 Sc 0.500 0.500 0.500
9 Fe 0.250 0.250 0.750
10 Fe 0.250 0.750 0.250
11 Fe 0.750 0.250 0.250
12 Fe 0.750 0.750 0.750
13 Ge 0.250 0.250 0.250
14 Ge 0.250 0.750 0.750
15 Ge 0.750 0.250 0.750
16 Ge 0.750 0.750 0.250

=====

# 5
Here is a geometry-optimized BaMgFeMo structure from OQMD via LeMat-Bulk. Energies are from PBE.

Values from the calculation:
Final energy ... -4.58 eV per atom
SG ... F-43m, No. 216

a b c (Å): 7.065 7.065 7.065
angles (deg): 90.00 90.00 90.00
Fractional positions:
1 Ba 0.000 0.000 0.000
2 Ba 0.000 0.500 0.500
3 Ba 0.500 0.000 0.500
4 Ba 0.500 0.500 0.000
5 Mg 0.250 0.250 0.750
6 Mg 0.250 0.750 0.250
7 Mg 0.750 0.250 0.250
8 Mg 0.750 0.750 0.750
9 Fe 0.250 0.250 0.250
10 Fe 0.250 0.750 0.750
11 Fe 0.750 0.250 0.750
12 Fe 0.750 0.750 0.250
13 Mo 0.000 0.000 0.500
14 Mo 0.000 0.500 0.000
15 Mo 0.500 0.000 0.000
16 Mo 0.500 0.500 0.500

=====

# 6
Here is a geometry-optimized Zr3Cd2 structure from OQMD via LeMat-Bulk. Energies are from PBE.

Values from the calculation:
Formation energy ... 1149 meV per atom
SG ... P4/mmm, No. 123

a b c (Å): 5.551 5.551 5.176
angles (deg): 90.00 90.00 90.00
Fractional positions:
1 Zr 0.000 0.000 0.000
2 Zr 0.000 0.500 0.000
3 Zr 0.500 0.000 0.000
4 Cd 0.500 0.500 0.000
5 Cd 0.500 0.500 0.500